Record 1
Material: Zr2ZnAu
Method: DFT, meta-GGA SCAN
State: PBEsol geometry

```
4
Lattice="3.4114 0.0000 0.0000 0.0000 3.4114 0.0000 0.0000 0.0000 6.4286" Properties=species:S:1:pos:R:3 pbc="T T T"
Zr 0.0000 0.0000 0.0000
Zr 1.7057 1.7057 1.9167
Zn 1.7057 1.7057 4.8875
Au 0.0000 0.0000 3.4920
```

Properties
Energy of formation, meV per atom: -468
Magnetic moment, μB per atom: 0.000



Record 2
Material: ZrZnAu2
Method: DFT, meta-GGA SCAN
State: PBEsol geometry

```
4
Lattice="3.3469 0.0000 0.0000 0.0000 3.3469 0.0000 0.0000 0.0000 6.1947" Properties=species:S:1:pos:R:3 pbc="T T T"
Zr 0.0000 0.0000 0.0000
Zn 1.6735 1.6735 4.4455
Au 0.0000 0.0000 3.2116
Au 1.6735 1.6735 1.5594
```

Properties
Energy of formation, meV per atom: -446
Magnetic moment, μB per atom: 0.000



Record 3
Material: ZrZnAu2
Method: DFT, meta-GGA SCAN
State: PBEsol geometry

```
4
Lattice="3.0954 0.0000 0.0000 0.0000 3.1468 0.0000 0.0000 0.0000 7.0033" Properties=species:S:1:pos:R:3 pbc="T T T"
Zr 0.0000 0.0000 0.0000
Zn 0.0000 0.0000 3.5016
Au 1.5477 1.5734 1.9361
Au 1.5477 1.5734 5.0671
```

Properties
Energy of formation, meV per atom: -562
Magnetic moment, μB per atom: 0.000